[1]
This record from Alexandria via LeMat-Bulk describes a relaxed structure of K2TlRu. The functional is PBE.

Geometry as extended XYZ:
```
4
Lattice="-4.839 2.984 0.167 -2.322 -3.553 -3.786 -1.339 -2.341 3.018" Properties=species:S:1:pos:R:3 pbc="T T T"
Ru -3.089 0.322 1.592
K 0.000 0.000 0.000
K -3.580 -0.284 -1.810
Tl -1.831 -2.947 -0.384
```

space-group type = P4/mmm, No. 123
energy relative to the lowest polymorph listed for this composition = 564.0 meV/atom
DFT total energy = -2.44 eV per atom
ΔH_f (0 K) = 393 kJ/mol of formula units
M_tot = 2.08 μB per cell

***

[2]
This record from Alexandria via LeMat-Bulk describes a relaxed structure of LiYFe. The functional is PBE.

Geometry as extended XYZ:
```
12
Lattice="-1.384 1.718 -3.359 -4.522 -5.838 -1.123 -5.270 3.336 3.877" Properties=species:S:1:pos:R:3 pbc="T T T"
Li -8.536 -2.204 1.188
Fe -6.784 -3.723 -0.311
Li -4.333 -0.094 -1.869
Li -5.623 3.309 0.403
Fe -3.445 2.340 -0.990
Fe -7.850 1.723 0.510
Y -1.794 -0.368 -0.651
Y -7.381 -0.760 -0.954
Fe -7.649 0.230 2.067
Y -5.225 -3.047 -3.011
Y -4.907 0.681 1.168
Li -4.557 -2.137 -0.417
```

space-group type = Ima2, No. 46
energy relative to the lowest polymorph listed for this composition = 113.0 meV/atom
DFT total energy = -5.47 eV per atom
ΔH_f (0 K) = 43 kJ/mol of formula units
M_tot = 0.00 μB per cell

***

[3]
This record from Alexandria via LeMat-Bulk describes a relaxed structure of Mg2Cu6NiH. The functional is PBE.

Geometry as extended XYZ:
```
10
Lattice="4.951 0.063 0.017 -0.014 6.541 1.027 -2.476 -2.509 3.635" Properties=species:S:1:pos:R:3 pbc="T T T"
Ni -0.007 0.796 4.157
Mg -0.018 3.005 2.049
H 2.475 -2.443 3.652
Cu 3.635 5.366 0.918
Cu -1.174 -1.265 3.761
Cu 2.412 4.328 2.796
Mg 2.480 1.096 2.630
Cu 1.278 -1.168 3.828
Cu 0.049 -0.227 1.883
Cu 1.184 5.269 0.851
```

space-group type = P-1, No. 2
DFT total energy = -3.68 eV per atom
M_tot = 0.00 μB per cell

***

[4]
This record from Alexandria via LeMat-Bulk describes a relaxed structure of CsLaScSb2. The functional is PBE.

Geometry as extended XYZ:
```
5
Lattice="6.094 0.000 0.000 0.000 5.112 0.000 0.000 0.000 6.094" Properties=species:S:1:pos:R:3 pbc="T T T"
Sb 3.047 0.000 0.000
La 3.047 2.556 3.047
Sc 0.000 2.556 0.000
Cs 0.000 0.000 0.000
Sb 0.000 0.000 3.047
```

space-group type = P4/mmm, No. 123
DFT total energy = -3.10 eV per atom
M_tot = 0.00 μB per cell
uncorrected formation energy = 22.430 kcal/mol of atoms

***

[5]
This record from Alexandria via LeMat-Bulk describes a relaxed structure of Li4Ga5Rh. The functional is PBE.

Geometry as extended XYZ:
```
10
Lattice="-1.917 -2.382 -1.012 1.358 0.146 -2.916 9.862 -9.683 4.109" Properties=species:S:1:pos:R:3 pbc="T T T"
Li 3.926 -3.855 1.636
Li 1.933 -1.898 0.805
Ga 6.666 -7.937 0.929
Ga 4.652 -5.959 0.090
Li 5.936 -5.828 2.473
Ga 2.638 -3.982 -0.749
Rh 0.000 0.000 0.000
Li 7.929 -7.785 3.303
Ga 8.636 -9.872 1.751
Ga 0.667 -2.047 -1.570
```

space-group type = P4/mmm, No. 123
DFT total energy = -3.36 eV per atom
ΔH_f (0 K) = -336 kJ/mol of formula units
M_tot = 0.00 μB per cell

***

[6]
This record from Alexandria via LeMat-Bulk describes a relaxed structure of PuAlZn3. The functional is PBE.

Geometry as extended XYZ:
```
10
Lattice="5.712 0.000 -0.031 0.000 5.392 0.000 0.161 0.000 5.891" Properties=species:S:1:pos:R:3 pbc="T T T"
Pu 2.159 1.348 3.717
Zn 4.972 2.700 4.910
Zn 4.972 5.387 4.910
Al 3.225 1.348 0.684
Zn 0.815 4.044 3.267
Zn 0.900 0.004 0.949
Zn 0.900 2.691 0.949
Pu 3.714 4.044 2.142
Al 2.648 4.044 5.175
Zn 5.058 1.348 2.593
```

space-group type = P2_1/m, No. 11
DFT total energy = -4.51 eV per atom
ΔH_f (0 K) = -62 kJ/mol of formula units
M_tot = 11.63 μB per cell

***

[7]
This record from Alexandria via LeMat-Bulk describes a relaxed structure of YZnRe. The functional is PBE.

Geometry as extended XYZ:
```
3
Lattice="4.456 0.000 0.000 2.228 3.859 0.000 2.228 1.286 3.638" Properties=species:S:1:pos:R:3 pbc="T T T"
Y 4.456 2.572 1.819
Zn 2.228 1.286 0.909
Re 0.000 0.000 0.000
```

space-group type = F-43m, No. 216
energy relative to the lowest polymorph listed for this composition = 432.4 meV/atom
DFT total energy = -6.11 eV per atom
ΔH_f (0 K) = 178 kJ/mol of formula units
M_tot = 0.19 μB per cell

***

[8]
This record from Alexandria via LeMat-Bulk describes a relaxed structure of DyUP2. The functional is PBE.

Geometry as extended XYZ:
```
4
Lattice="3.860 0.000 0.000 1.930 3.343 0.000 1.930 1.114 6.998" Properties=species:S:1:pos:R:3 pbc="T T T"
P 1.930 1.114 1.747
Dy 5.790 3.343 6.937
U 3.860 2.229 3.547
P 1.930 1.114 5.263
```

space-group type = R3m, No. 160
energy relative to the lowest polymorph listed for this composition = 179.8 meV/atom
DFT total energy = -7.79 eV per atom
ΔH_f (0 K) = -430 kJ/mol of formula units
M_tot = 2.76 μB per cell

***

[9]
This record from Alexandria via LeMat-Bulk describes a relaxed structure of Sc2Cu2Ni5Ge. The functional is PBE.

Geometry as extended XYZ:
```
20
Lattice="3.584 0.000 0.000 0.000 8.683 0.000 0.000 0.000 8.683" Properties=species:S:1:pos:R:3 pbc="T T T"
Ni 1.792 1.746 0.564
Ni 1.792 8.119 1.746
Ni 1.792 6.087 3.778
Ni 1.792 0.000 4.342
Cu 0.000 5.394 7.630
Sc 0.000 1.523 2.819
Ni 1.792 4.342 0.000
Sc 0.000 2.819 7.160
Ni 1.792 3.778 2.596
Ni 1.792 0.564 6.937
Sc 0.000 7.160 5.864
Cu 0.000 3.289 1.053
Cu 0.000 1.053 5.394
Ge 0.000 4.342 4.342
Sc 0.000 5.864 1.523
Cu 0.000 7.630 3.289
Ni 1.792 6.937 8.119
Ni 1.792 2.596 4.905
Ni 1.792 4.905 6.087
Ge 0.000 0.000 0.000
```

space-group type = P4/mbm, No. 127
DFT total energy = -5.76 eV per atom
ΔH_f (0 K) = -313 kJ/mol of formula units
M_tot = 0.00 μB per cell

***

[10]
This record from Alexandria via LeMat-Bulk describes a relaxed structure of Zr2AlBr. The functional is PBE.

Geometry as extended XYZ:
```
4
Lattice="-0.054 -1.223 -3.436 -2.471 -2.514 0.933 -5.095 4.450 -1.504" Properties=species:S:1:pos:R:3 pbc="T T T"
Zr -5.073 4.430 -1.497
Al -2.189 1.912 -0.646
Zr -2.571 -0.725 -1.638
Br -5.430 1.772 -2.482
```

space-group type = P4mm, No. 99
energy relative to the lowest polymorph listed for this composition = 154.8 meV/atom
DFT total energy = -5.84 eV per atom
M_tot = 0.00 μB per cell
uncorrected formation energy = -4.825 kcal/mol of atoms

***

[11]
This record from Alexandria via LeMat-Bulk describes a relaxed structure of CeTm4Th. The functional is PBE.

Geometry as extended XYZ:
```
12
Lattice="5.642 0.000 0.000 -2.821 7.949 -1.268 0.000 -3.510 8.779" Properties=species:S:1:pos:R:3 pbc="T T T"
Tm 0.000 -0.014 1.511
Tm 2.821 4.839 -0.752
Th 2.821 4.515 2.794
Tm 2.821 1.574 0.865
Ce 2.821 1.417 4.466
Th 0.000 -0.076 4.717
Tm 2.821 4.454 6.001
Tm 0.000 6.213 1.400
Tm 0.000 -0.399 8.263
Tm 0.000 2.866 6.646
Tm 2.821 -1.773 6.111
Ce 0.000 3.022 3.045
```

space-group type = C2/m, No. 12
energy relative to the lowest polymorph listed for this composition = 141.9 meV/atom
DFT total energy = -5.06 eV per atom
ΔH_f (0 K) = 83 kJ/mol of formula units
M_tot = 0.99 μB per cell

***

[12]
This record from Alexandria via LeMat-Bulk describes a relaxed structure of Li2MnCd. The functional is PBE.

Geometry as extended XYZ:
```
4
Lattice="-1.465 -4.704 -0.095 3.783 -2.682 -1.668 -0.227 3.331 3.625" Properties=species:S:1:pos:R:3 pbc="T T T"
Li 0.001 -0.003 -0.001
Mn 2.358 -1.522 0.538
Li 1.158 -3.690 -0.880
Cd -0.267 -2.533 1.324
```

space-group type = Immm, No. 71
DFT total energy = -3.36 eV per atom
ΔH_f (0 K) = 44 kJ/mol of formula units
M_tot = 3.97 μB per cell

***

[13]
This record from Alexandria via LeMat-Bulk describes a relaxed structure of Ti3Nb2Zn3. The functional is PBE.

Geometry as extended XYZ:
```
8
Lattice="-0.097 3.595 1.682 -3.677 0.543 -1.371 -1.207 -5.415 6.817" Properties=species:S:1:pos:R:3 pbc="T T T"
Nb -1.623 0.095 4.389
Zn -2.646 1.247 1.867
Nb -3.358 -1.372 2.740
Zn -2.335 -2.525 5.262
Ti -0.732 -0.792 1.649
Ti -1.838 0.271 -0.685
Ti -4.249 -0.486 5.479
Zn -0.048 1.797 0.841
```

space-group type = Immm, No. 71
DFT total energy = -6.05 eV per atom
ΔH_f (0 K) = -76 kJ/mol of formula units
M_tot = 1.21 μB per cell

***

[14]
This record from Alexandria via LeMat-Bulk describes a relaxed structure of MnHgTe. The functional is PBE.

Geometry as extended XYZ:
```
6
Lattice="3.971 -0.267 0.306 0.237 3.973 0.306 1.388 1.223 10.282" Properties=species:S:1:pos:R:3 pbc="T T T"
Mn 1.172 2.912 0.306
Hg 1.866 3.523 5.447
Mn 3.036 0.794 0.306
Hg 3.730 1.406 5.447
Te 4.684 4.125 9.063
Te 0.913 0.804 1.831
```

space-group type = C2/m, No. 12
energy relative to the lowest polymorph listed for this composition = 0.0 meV/atom
DFT total energy = -4.15 eV per atom
M_tot = 4.73 μB per cell
uncorrected formation energy = 1.351 kcal/mol of atoms

***

[15]
This record from Alexandria via LeMat-Bulk describes a relaxed structure of PrVC2. The functional is PBE.

Geometry as extended XYZ:
```
4
Lattice="3.276 0.000 0.000 1.638 2.837 0.000 1.638 0.946 5.668" Properties=species:S:1:pos:R:3 pbc="T T T"
Pr 3.276 1.891 2.834
C 1.638 0.946 1.055
V 0.000 0.000 0.000
C 4.914 2.837 4.613
```

space-group type = R-3m, No. 166
DFT total energy = -7.95 eV per atom
ΔH_f (0 K) = 52 kJ/mol of formula units
M_tot = 0.00 μB per cell